A geometry-optimized CrSi2Os2 structure, computed with GGA-PBE.

Lattice parameters (Å, degrees): 7.004 7.004 2.824 90.00 90.00 90.00
Last column: magnetic moment on the atom in μB.
Positions (direct):
Cr (0.000, 0.000, 0.000)  3.12
Cr (0.500, 0.500, 0.000)  3.12
Si (0.356, 0.856, 0.000)  0.00
Si (0.856, 0.644, 0.000)  0.00
Si (0.644, 0.144, 0.000)  0.00
Si (0.144, 0.356, 0.000)  0.00
Os (0.154, 0.654, 0.500)  0.02
Os (0.654, 0.846, 0.500)  0.02
Os (0.846, 0.346, 0.500)  0.02
Os (0.346, 0.154, 0.500)  0.02

D(E_F) = 4.0 states/eV/f.u.
Formation energy from raw total energies = -0.073 eV per atom
Uncorrected energy = -0.63642 Ry/atom
Crystal system = tetragonal